(1)
{
  "formula": "Tm4SnPbSe2",
  "functional": "PBE-GGA",
  "state": "optimized geometry",
  "dos_ef_per_ev_atom": 0.5109,
  "vol_a3_per_cell": 211.3,
  "lattice_angstrom": [[7.225, 0.000, 0.000], [0.000, 4.190, 0.000], [-2.415, 0.000, 6.980]],
  "species": ["Tm", "Tm", "Tm", "Tm", "Sn", "Pb", "Se", "Se"],
  "frac_coords": [[0.245, 0.000, 0.239], [0.249, 0.500, 0.758], [0.751, 0.500, 0.242], [0.755, 0.000, 0.761], [0.000, 0.000, 0.500], [0.500, 0.500, 0.500], [0.000, 0.500, 0.000], [0.500, 0.000, 0.000]]
}

***

(2)
{
  "formula": "Tm6SnPb2Se3",
  "functional": "PBE-GGA",
  "state": "optimized geometry",
  "dos_ef_per_ev_atom": 0.4111,
  "vol_a3_per_cell": 318.1,
  "lattice_angstrom": [[9.225, -2.107, 0.000], [9.225, 2.107, 0.000], [-2.137, 0.000, 8.185]],
  "species": ["Tm", "Tm", "Tm", "Tm", "Tm", "Tm", "Sn", "Pb", "Pb", "Se", "Se", "Se"],
  "frac_coords": [[0.003, 0.003, 0.249], [0.332, 0.332, 0.423], [0.337, 0.337, 0.910], [0.663, 0.663, 0.090], [0.668, 0.668, 0.577], [0.997, 0.997, 0.751], [0.500, 0.500, 0.500], [0.167, 0.167, 0.835], [0.833, 0.833, 0.165], [0.167, 0.167, 0.334], [0.500, 0.500, 0.000], [0.833, 0.833, 0.666]]
}

***

Here are the calculated uncorrected formation energy numbers, same order: -1.085, -1.067 (eV/atom).